A plane-wave DFT calculation with PBE was carried out for LiCrCl2 after structural relaxation.

Cell: 4.7091 4.7091 3.3135 Å, 90.00 90.00 90.00°
With the nearest neighbours (Å) after each atom.
Space group P4/mmm (No. 123)
Asymmetric unit:
1 Li 0.0000 0.0000 0.0000 (multiplicity 1)  8 Cl 2.88
2 Cr 0.5000 0.5000 0.0000 (multiplicity 1)  8 Cl 2.88
3 Cl 0.0000 0.5000 0.5000 (multiplicity 2)  4 Cr 2.88, 4 Li 2.88

Computed properties:
Its energy above the most stable polymorph in this dataset is 349.5 meV per atom. For the uncorrected energy, the calculation gives -18.0 eV/cell. Its raw formation energy is -2.7 eV/f.u.

A plane-wave DFT calculation with PBE was carried out for ZrScRe2 after structural relaxation.

Cell: 3.2586 4.7071 9.0744 Å, 90.00 90.00 90.00°
With the nearest neighbours (Å) after each atom.
Space group Cmmm (No. 65)
Asymmetric unit:
1 Zr 0.0000 0.0000 0.0000 (multiplicity 2)  4 Re 2.80, 4 Zr 2.86
2 Sc 0.0000 0.0000 0.5000 (multiplicity 2)  4 Re 2.79, 4 Sc 2.86
3 Re 0.0000 0.5000 0.2508 (multiplicity 4)  2 Sc 2.79, 2 Zr 2.80, 4 Re 2.86

Computed properties:
For the uncorrected energy, the calculation gives -79.4 eV/cell. The formation enthalpy at 0 K comes out at 0.0129 eV/atom.

A plane-wave DFT calculation with PBE was carried out for TbNd4Dy3 after structural relaxation.

Cell: 5.7174 26.1819 3.6497 Å, 90.00 90.00 90.00°
With the nearest neighbours (Å) after each atom.
Space group Cmmm (No. 65)
Asymmetric unit:
1 Tb 0.0000 0.0000 0.0000 (multiplicity 2)  4 Nd 3.25, 4 Dy 3.39
2 Nd 0.0000 0.1028 0.5000 (multiplicity 4)  1 Nd 3.14, 2 Tb 3.25
3 Nd 0.0000 0.2229 0.5000 (multiplicity 4)  3 Nd 3.14-3.19
4 Dy 0.0000 0.3498 0.0000 (multiplicity 4)  10 Nd 3.61-3.89, 2 Dy 3.65
5 Dy 0.0000 0.5000 0.5000 (multiplicity 2)  4 Tb 3.39, 2 Dy 3.65

Computed properties:
Its energy above the most stable polymorph in this dataset is 163.3 meV per atom. For the uncorrected energy, the calculation gives -71.9 eV/cell. The formation enthalpy at 0 K comes out at 0.1917 eV/atom.

A plane-wave DFT calculation with PBE was carried out for NbGa2Au after structural relaxation.

Cell: 2.8796 2.8796 8.1913 Å, 90.00 90.00 90.00°
With the nearest neighbours (Å) after each atom.
Space group P4/mmm (No. 123)
Asymmetric unit:
1 Nb 0.0000 0.0000 0.0000 (multiplicity 1)  8 Ga 2.86, 4 Nb 2.88
2 Ga 0.5000 0.5000 0.2456 (multiplicity 2)  4 Nb 2.86, 4 Ga 2.88, 4 Au 2.91
3 Au 0.0000 0.0000 0.5000 (multiplicity 1)  4 Au 2.88, 8 Ga 2.91

Computed properties:
Its energy above the most stable polymorph in this dataset is 143.8 meV per atom. For the uncorrected energy, the calculation gives -20.0 eV/cell. The formation enthalpy at 0 K comes out at -0.1415 eV/atom.